[1]
Below is a PBEsol-optimized structure of InCo2SbPb, with properties calculated at the SCAN level.

Calculated values
Mass density in Mg/m³: 7.3
Electronic total energy in eV per atom: -35.315
V in Å³/atom: 25.705

Lattice parameters (Å, degrees): 4.686 4.686 5.854 90.00 90.00 90.00
Fractional coordinates of all 5 atoms:
In1 0.000 0.000 0.000
Co1 0.000 0.500 0.500
Co2 0.500 0.000 0.500
Sb1 0.500 0.500 0.500
Pb1 0.500 0.500 0.000

=====

[2]
Below is a PBEsol-optimized structure of PrInCo2, with properties calculated at the SCAN level.

Calculated values
Mass density in Mg/m³: 8.5
Formation energy from the elements in meV per atom: -212
Electronic total energy in eV per atom: -28.042
V in Å³/atom: 18.271

Lattice parameters (Å, degrees): 5.082 3.981 7.225 90.00 90.00 90.00
Fractional coordinates of all 8 atoms:
Pr1 0.250 0.000 0.211
Pr2 0.750 0.000 0.789
In1 0.250 0.500 0.833
In2 0.750 0.500 0.167
Co1 0.000 0.500 0.500
Co2 0.250 0.000 0.580
Co3 0.500 0.500 0.500
Co4 0.750 0.000 0.420

=====

[3]
Below is a PBEsol-optimized structure of PrIn5Co, with properties calculated at the SCAN level.

Calculated values
Mass density in Mg/m³: 8.3
Formation energy from the elements in meV per atom: -325
Electronic total energy in eV per atom: -32.834
V in Å³/atom: 22.123

Lattice parameters (Å, degrees): 4.544 4.544 7.498 90.00 90.00 90.00
Fractional coordinates of all 7 atoms:
Pr1 0.000 0.000 0.000
In1 0.000 0.500 0.310
In2 0.000 0.500 0.690
In3 0.500 0.000 0.310
In4 0.500 0.000 0.690
In5 0.500 0.500 0.000
Co1 0.000 0.000 0.500